Entry 1:
Compound: InIrSe
Source: Alexandria
Functional: GGA-PBE
Structure: optimized geometry

Lattice parameters (Å, degrees): 4.5215 4.5215 3.1300 90.00 90.00 120.00
Space group P-6m2 (No. 187)
Inequivalent atoms, fractional coordinates:
In: 0.0000 0.0000 0.0000 (multiplicity 1)
Ir: 0.6667 0.3333 0.5000 (multiplicity 1)
Se: 0.3333 0.6667 0.5000 (multiplicity 1)

Results
The value obtained for the energy above the most stable polymorph in this dataset is 411.6 meV per atom. For the magnetization, the calculation gives 0.0 μB/f.u.


Entry 2:
Compound: InIrSe3
Source: Alexandria
Functional: GGA-PBE
Structure: optimized geometry

Lattice parameters (Å, degrees): 6.7389 6.7389 17.4860 90.00 90.00 120.00
Space group R32 (No. 155, hexagonal axes)
Inequivalent atoms, fractional coordinates:
In: 0.0000 0.0000 0.1010 (multiplicity 6)
Ir: 0.0000 0.0000 0.4004 (multiplicity 6)
Se: 0.0000 0.2695 0.5000 (multiplicity 9)
Se: 0.0000 0.6712 0.0000 (multiplicity 9)

Results
The value obtained for the energy above the most stable polymorph in this dataset is 45.7 meV per atom. For the magnetization, the calculation gives 0.0 μB/f.u.


Entry 3:
Compound: InIrSe3
Source: Alexandria
Functional: GGA-PBE
Structure: optimized geometry

Lattice parameters (Å, degrees): 6.0364 6.4549 7.4085 95.83 113.88 101.02
Space group P1 (No. 1)
Inequivalent atoms, fractional coordinates:
In: 0.0000 0.0000 0.0000 (multiplicity 1)
In: 0.4612 0.8060 0.5109 (multiplicity 1)
Ir: 0.2106 0.9635 0.7076 (multiplicity 1)
Ir: 0.9652 0.3738 0.8543 (multiplicity 1)
Se: 0.0426 0.6381 0.1646 (multiplicity 1)
Se: 0.4154 0.4795 0.9926 (multiplicity 1)
Se: 0.4964 0.3026 0.7232 (multiplicity 1)
Se: 0.5268 0.8770 0.9907 (multiplicity 1)
Se: 0.8626 0.1280 0.5234 (multiplicity 1)
Se: 0.8766 0.6380 0.6204 (multiplicity 1)

Results
The value obtained for the energy above the most stable polymorph in this dataset is 139.1 meV per atom. For the magnetization, the calculation gives 0.0 μB/f.u.


Entry 4:
Compound: InIrSe
Source: Alexandria
Functional: GGA-PBE
Structure: optimized geometry

Lattice parameters (Å, degrees): 3.6146 3.6146 5.6489 90.00 90.00 120.00
Space group P3m1 (No. 156)
Inequivalent atoms, fractional coordinates:
In: 0.0000 0.0000 0.0000 (multiplicity 1)
Ir: 0.3333 0.6667 0.3346 (multiplicity 1)
Se: 0.6667 0.3333 0.5619 (multiplicity 1)

Results
The value obtained for the energy above the most stable polymorph in this dataset is 273.9 meV per atom. For the magnetization, the calculation gives 0.0 μB/f.u.


Entry 5:
Compound: InIrSe3
Source: Alexandria
Functional: GGA-PBE
Structure: optimized geometry

Lattice parameters (Å, degrees): 8.5213 10.3619 6.7110 90.00 127.46 90.00
Space group Cc (No. 9)
Inequivalent atoms, fractional coordinates:
In: 0.0000 0.1295 0.0000 (multiplicity 4)
Ir: 0.4727 0.0952 0.7970 (multiplicity 4)
Se: 0.1256 0.3850 0.0665 (multiplicity 4)
Se: 0.2518 0.0315 0.9098 (multiplicity 4)
Se: 0.3083 0.3156 0.6919 (multiplicity 4)

Results
The value obtained for the energy above the most stable polymorph in this dataset is 113.6 meV per atom. For the magnetization, the calculation gives 0.0 μB/f.u.


Entry 6:
Compound: InIrSe3
Source: Alexandria
Functional: GGA-PBE
Structure: optimized geometry

Lattice parameters (Å, degrees): 3.8756 5.8810 6.0509 70.74 73.39 75.15
Space group P1 (No. 1)
Inequivalent atoms, fractional coordinates:
In: 0.0000 0.0000 0.0000 (multiplicity 1)
Ir: 0.6513 0.2364 0.3686 (multiplicity 1)
Se: 0.1376 0.4909 0.1823 (multiplicity 1)
Se: 0.2069 0.9479 0.5097 (multiplicity 1)
Se: 0.4797 0.3103 0.7671 (multiplicity 1)

Results
The value obtained for the energy above the most stable polymorph in this dataset is 152.0 meV per atom. For the magnetization, the calculation gives 0.0 μB/f.u.


Entry 7:
Compound: InIrSe
Source: Alexandria
Functional: GGA-PBE
Structure: optimized geometry

Lattice parameters (Å, degrees): 5.9635 3.6589 6.7178 90.00 105.61 90.00
Space group Pm (No. 6)
Inequivalent atoms, fractional coordinates:
In: 0.0000 0.0000 0.0000 (multiplicity 1)
In: 0.1427 0.0000 0.4469 (multiplicity 1)
Ir: 0.0106 0.5000 0.6983 (multiplicity 1)
Ir: 0.6048 0.0000 0.6702 (multiplicity 1)
Se: 0.4415 0.5000 0.8461 (multiplicity 1)
Se: 0.6468 0.5000 0.4276 (multiplicity 1)

Results
The value obtained for the energy above the most stable polymorph in this dataset is 81.2 meV per atom. For the magnetization, the calculation gives 0.0 μB/f.u.


Entry 8:
Compound: InIrSe3
Source: Alexandria
Functional: GGA-PBE
Structure: optimized geometry

Lattice parameters (Å, degrees): 12.2583 6.1297 6.0525 90.00 93.73 90.00
Space group Cc (No. 9)
Inequivalent atoms, fractional coordinates:
In: 0.0000 0.1986 0.0000 (multiplicity 4)
Ir: 0.2214 0.2557 0.9598 (multiplicity 4)
Se: 0.1701 0.3750 0.5781 (multiplicity 4)
Se: 0.2728 0.1267 0.3431 (multiplicity 4)
Se: 0.4274 0.2862 0.9262 (multiplicity 4)

Results
The value obtained for the energy above the most stable polymorph in this dataset is 68.6 meV per atom. For the magnetization, the calculation gives 0.0 μB/f.u.